First-principles (PBE) data for a geometry-optimized Mg2TcHgO structure, as listed in Alexandria via LeMat-Bulk.

Geometry as POSCAR:
```
Mg2TcHgO
1.0
5.1391 0.0000 0.0000
0.0000 5.1750 0.0000
0.0000 0.0000 5.1391
Mg Hg O Tc
2 1 1 1
Direct
0.0000 0.0000 0.5000
0.5000 0.0000 0.0000
0.0000 0.0000 0.0000
0.5000 0.5000 0.5000
0.0000 0.5000 0.0000
```

Values from the calculation:
Symmetry   P4/mmm
Final energy   -2.56 eV/atom
E_form (uncorrected)   1.20 eV/atom
Energy relative to the lowest polymorph listed for this composition   231 meV per atom
Total moment   4.5 Bohr magnetons per cell